Na2FeCoF6: optimized geometry, PBE with a Hubbard U.

Unit cell a=5.6506 b=5.6546 c=5.7604 alpha=58.77 beta=58.78 gamma=59.53
With the nearest neighbours (Å) after each atom.
Fractional coordinates of all 10 atoms:
Na  0.5977  0.5364  0.2979  5 F 2.29-2.43
Na  0.0346  0.0958  0.8052  5 F 2.29-2.43
Fe  0.8162  0.8162  0.5515  6 F 2.06-2.11
Co  0.3161  0.3162  0.0515  6 F 2.04-2.10
F  0.6188  0.1427  0.2394  1 Co 2.04, 1 Fe 2.11
F  0.1855  0.9416  0.3039  1 Fe 2.06, 1 Co 2.10, 1 Na 2.29
F  0.9999  0.5027  0.3567  1 Co 2.04, 1 Fe 2.11
F  0.4468  0.6906  0.7990  1 Fe 2.06, 1 Co 2.10, 1 Na 2.29
F  0.6325  0.1297  0.7462  1 Co 2.04, 1 Fe 2.11
F  0.0133  0.4896  0.8638  1 Co 2.04, 1 Fe 2.11

Calculated values
ρ	3.585	g/cm³
raw total energy	-49.400	eV per cell